# 1
Ga2SbSe: optimized geometry, PBE.

POSCAR file:
```
Ga2SbSe
1.0
-2.8261 0.8304 4.0649
-4.5376 2.0923 -0.4825
-4.1272 -2.7461 0.7913
Sb Ga Se
1 2 1
Cartesian
-5.7455 0.0883 2.1869
-2.8727 0.0442 1.0934
-8.6182 0.1325 3.2803
0.0000 0.0000 0.0000
```

## Properties
Energy relative to the lowest polymorph listed for this composition in meV per atom: 250.2
Formation energy without anion corrections in eV per atom: 0.08
D(E_F) in states/eV/cell: 2.58
Calculated density in g/cm3: 6.31

***

# 2
GaSbSe4: optimized geometry, PBE.

POSCAR file:
```
GaSbSe4
1.0
-1.2625 -2.2536 -2.6707
7.5118 -1.9438 0.6738
-3.9351 -2.9165 4.3212
Ga Sb Se
1 1 4
Cartesian
0.0000 0.0000 0.0000
-2.5988 -2.5851 0.8253
5.1546 -2.5280 -0.3035
-0.1071 -2.0159 1.7517
-2.8404 -4.5859 2.6279
2.4213 -5.0980 0.5727
```

## Properties
Formation energy without anion corrections in eV per atom: -0.22
D(E_F) in states/eV/cell: 2.62
Calculated density in g/cm3: 5.07

***

# 3
GaSb2Se: optimized geometry, PBE.

POSCAR file:
```
GaSb2Se
1.0
5.9494 0.0000 0.0000
0.0000 5.9494 0.0000
2.9747 2.9747 7.3789
Sb Ga Se
4 2 2
Cartesian
4.3910 1.4873 1.8447
1.5584 4.4620 1.8447
4.4620 4.5331 5.5342
7.4367 7.3656 5.5342
2.9747 2.9747 0.0000
2.9747 5.9494 3.6895
0.0000 0.0000 0.0000
5.9494 2.9747 3.6895
```

## Properties
Energy relative to the lowest polymorph listed for this composition in meV per atom: 0.0
Formation energy without anion corrections in eV per atom: 0.16
D(E_F) in states/eV/cell: 1.91
Calculated density in g/cm3: 4.99

***

# 4
Ga2SbSe2: optimized geometry, PBE.

POSCAR file:
```
Ga2SbSe2
1.0
7.7154 0.0000 0.0000
0.0000 7.7154 0.0000
0.0000 0.0000 3.6368
Sb Ga Se
2 4 4
Cartesian
0.0000 0.0000 0.0000
3.8577 3.8577 0.0000
2.6856 6.5433 0.0000
6.5433 5.0298 0.0000
5.0298 1.1721 0.0000
1.1721 2.6856 0.0000
1.1606 5.0183 1.8184
5.0183 6.5548 1.8184
6.5548 2.6971 1.8184
2.6971 1.1606 1.8184
```

## Properties
Energy relative to the lowest polymorph listed for this composition in meV per atom: 44.1
Formation energy without anion corrections in eV per atom: 0.04
D(E_F) in states/eV/cell: 5.45
Calculated density in g/cm3: 6.43

***

# 5
Ga12Sb3Se5: optimized geometry, PBE.

POSCAR file:
```
Ga12Sb3Se5
1.0
-5.8498 12.4953 -3.7011
-4.8912 -3.9324 12.8321
14.2090 1.3670 0.5344
Sb Se Ga
12 20 48
Cartesian
-4.4454 8.0677 2.1030
-7.0108 8.1549 6.4524
3.0186 2.5908 8.5702
3.2545 3.1449 0.8791
-2.1777 10.7835 -1.5008
-1.6984 2.5697 6.7657
5.1664 7.3601 2.8997
5.6458 -0.8537 11.1662
0.2135 6.7850 8.7863
0.4495 7.3391 1.0952
10.4788 1.7749 3.2130
7.9134 1.8622 7.5624
0.9868 0.4290 4.4830
-2.4456 -1.9662 6.4160
0.0000 0.0000 0.0000
-1.6403 3.8735 1.8869
4.1796 6.9311 -1.5833
-5.3705 4.2814 4.5655
0.9288 -0.8748 9.3618
7.4341 10.0760 -0.7042
-2.1159 7.4263 5.4446
7.8517 5.2194 0.6169
-4.3836 4.7104 9.0485
1.7340 4.9649 4.8327
-2.9249 6.2476 -1.8505
7.1045 0.6835 0.2672
5.5840 2.5035 4.2208
-3.9661 -0.1462 10.3696
4.6589 -1.2827 6.6832
2.5393 10.8046 0.3036
5.1084 6.0564 7.7785
2.4812 9.5008 5.1824
-4.1564 8.5460 -0.8138
1.1970 2.5229 6.1063
-3.3426 10.7911 1.2311
-2.3034 6.2445 0.8859
2.5714 5.3199 7.4873
-6.0143 9.7331 4.1423
0.2272 1.6584 8.9692
-2.9877 -2.3157 11.5526
1.4326 4.5492 10.3145
-4.6700 6.9828 4.8586
-1.6507 8.4449 3.0344
-8.5498 6.8778 8.6480
3.5042 -0.3005 9.0446
-2.9634 2.9544 4.0007
0.1482 -2.0948 11.5902
5.2078 5.4894 0.5934
1.8743 0.6426 1.9870
-4.6197 3.0608 6.9781
-5.4259 7.1491 8.8752
-1.6311 0.2547 4.9066
4.3261 1.8062 11.2288
-0.6210 5.4001 6.2951
-1.5221 8.8774 7.5906
6.9044 9.6639 1.8674
4.0891 4.5297 3.3703
4.9901 1.0524 2.0748
-3.4364 0.2660 7.7980
8.8939 2.7807 0.7902
-0.8580 8.1237 -1.5634
5.0991 9.6752 4.7588
8.0877 6.8690 2.6873
-1.7398 4.4405 9.0720
1.5937 9.2872 7.6785
3.3199 12.0247 -1.9248
-0.0362 10.2303 0.6208
12.0178 3.0521 1.0174
6.4314 6.9755 5.6647
2.0355 5.3807 -0.6491
8.1381 2.9470 4.8068
5.1187 1.4850 6.6310
6.4557 12.2455 -1.8872
3.2408 8.2714 0.6962
5.7715 3.6854 8.7795
9.4823 0.1968 5.5231
0.8966 4.6100 2.1781
6.8107 -0.8612 8.4343
2.2711 7.4070 3.5591
7.6244 1.3838 10.4792
```

## Properties
Formation energy without anion corrections in eV per atom: -0.07
D(E_F) in states/eV/cell: 28.77
Calculated density in g/cm3: 4.73

***

# 6
Ga5Sb3Se12: optimized geometry, PBE.

POSCAR file:
```
Ga5Sb3Se12
1.0
-8.8997 4.3877 -9.6316
-6.2673 -9.1792 8.2273
4.3074 10.7617 7.5404
Sb Ga Se
12 20 48
Cartesian
-8.4866 1.1938 -3.1959
-11.9492 -1.6999 -1.3146
-5.3457 1.4871 7.2714
-1.3930 3.9852 1.4482
-7.4938 5.3823 -5.5142
-6.1776 -1.4012 3.4153
-4.6820 7.3714 2.7208
-3.3658 0.5879 11.6502
-9.4665 1.9851 4.6879
-5.5138 4.4832 -1.1353
1.0897 7.6701 7.4507
-2.3730 4.7764 9.3320
-2.3858 -0.2033 3.7664
-3.1336 -4.5896 4.1137
0.0000 0.0000 0.0000
-4.3658 0.6958 -0.6125
-2.2961 7.5747 -1.0456
-7.5835 -2.3957 -0.7022
-4.1976 -2.3003 7.7942
-3.6892 11.5599 0.4025
-8.9765 1.5894 0.7460
-0.8902 8.5692 3.0718
-9.9693 -2.5990 3.0642
-5.4298 2.9851 3.0680
-4.4498 2.1939 -4.8158
2.1537 5.3808 3.7702
-1.8830 4.3808 5.3901
-7.1704 -5.5896 5.7335
-0.9799 0.7912 7.8839
-6.6619 8.2705 -1.6581
-6.4938 5.2744 6.7486
-8.4737 6.1735 2.3697
-6.9563 2.3399 -5.5643
-4.4602 0.9255 4.3649
-9.7054 3.9073 -4.0317
-5.5343 1.7491 -2.4728
-6.7540 3.3316 5.3019
-11.5387 0.7192 -3.1157
-6.0437 -1.3740 6.5022
-5.9977 -6.6536 7.5851
-8.3961 1.0038 7.3630
-9.2351 -0.3621 -0.6893
-8.3303 3.2280 -0.9371
-12.8823 -4.3712 -0.1929
-3.2598 -0.2305 8.6726
-5.5387 -1.1842 0.4000
-4.8480 -3.9281 9.4861
-1.9196 7.0295 1.4891
-0.9664 1.0214 2.2106
-7.9991 -3.1911 1.7592
-11.8086 -1.6600 1.7718
-3.3111 -2.2797 2.8902
-5.9972 1.2768 10.2844
-7.3855 1.3144 2.5704
-10.9552 2.1775 2.0400
-5.1171 10.3311 1.9474
-3.4741 4.6558 3.5657
0.0956 3.7928 4.0961
-5.7424 -4.3609 4.1887
0.9491 7.6302 4.3643
-4.8623 4.6935 -4.1483
-7.5485 8.2500 3.2459
-2.8604 9.1613 4.3769
-8.9399 -1.0593 4.6470
-9.8932 4.9488 3.9255
-6.0115 9.8984 -3.3500
-7.5998 6.2007 -2.5365
2.0228 10.3414 6.3290
-5.3208 7.1544 5.7361
-2.4634 4.9665 -1.2269
-1.6244 6.3323 6.8253
-2.5292 2.7422 7.0732
-4.8619 12.6238 -1.4490
-4.8158 7.3442 -0.3661
-5.3253 4.2212 8.6089
0.6792 5.2510 9.2518
-4.1055 2.6387 0.8342
-1.1541 2.0629 10.1678
-6.3993 5.0447 1.7712
-3.9033 3.6303 11.7004
```

## Properties
Formation energy without anion corrections in eV per atom: -0.32
Calculated density in g/cm3: 5.42

***

Total energy, respectively: -3.33; -3.73; -3.53; -3.39; -3.37; -3.79 eV/atom.